Density functional theory data (PBE) for NaHgAuS2 after structural relaxation.

The value obtained for the density is 6.36 Mg/m³. As for the volume: 253 Å³ per cell. The formation energy without anion corrections is -0.4221 eV per atom.

The space group is P2/c (No. 13) and the conventional cell measures 5.392, 6.397 and 7.342 Å, with angles of 90.00, 90.12 and 90.00 degrees. Symmetry generates all atoms from Na at (0.000, 0.002, 0.250), Hg at (0.500, 0.499, 0.250), Au at (0.500, 0.000, 0.000) and S at (0.245, 0.293, 0.999).


Density functional theory data (PBE) for TlRe2Au after structural relaxation.

The value obtained for the density is 18.43 Mg/m³. The calculation puts the offset from the most stable computed form at 2.51 eV per formula unit. As for the volume: 70 Å³ per cell. Its energy relative to the elements is 1.031 eV per atom.

The space group is P4/mmm (No. 123) and the conventional cell measures 3.954, 3.954 and 4.458 Å, with angles of 90.00, 90.00 and 90.00 degrees. Symmetry generates all atoms from Tl at (0.000, 0.000, 0.000), Re at (0.000, 0.500, 0.500) and Au at (0.500, 0.500, 0.000).


Density functional theory data (PBE) for RbSn3Te3 after structural relaxation.

The value obtained for the density is 4.09 Mg/m³. The calculation puts the offset from the most stable computed form at 0.19 eV per formula unit. As for the volume: 669 Å³ per cell. The formation energy without anion corrections is -0.1365 eV per atom.

The space group is Pm-3n (No. 223) and the conventional cell measures 8.745, 8.745 and 8.745 Å, with angles of 90.00, 90.00 and 90.00 degrees. Symmetry generates all atoms from Rb at (0.000, 0.000, 0.000), Sn at (0.000, 0.250, 0.500) and Te at (0.000, 0.500, 0.250).